CoTcGePd2: optimized geometry, PBE.

Cell lengths 4.5444, 4.5444, 4.6290 Å; angles 90.00, 90.00, 90.00 degrees
Last column: nearest neighbours and their distance in Å.
Positions (direct):
Co1 0.0000 0.0000 0.0000  4 Tc 3.21, 8 Pd 3.24
Tc1 0.5000 0.5000 0.0000  2 Ge 2.31
Ge1 0.5000 0.5000 0.5000  4 Pd 2.27, 2 Tc 2.31
Pd1 0.0000 0.5000 0.5000  2 Ge 2.27
Pd2 0.5000 0.0000 0.5000  2 Ge 2.27

Calculated values
* space group: P4/mmm (123)
* M_tot: 4.01 Bohr magnetons per cell

***

Th2CoGe4Pd3: optimized geometry, PBE.

Cell lengths 4.2844, 4.2844, 10.2151 Å; angles 90.00, 90.00, 90.00 degrees
Last column: nearest neighbours and their distance in Å.
Positions (direct):
Th1 0.0000 0.5000 0.2397  8 Ge 3.25-3.41, 2 Co 3.25, 6 Pd 3.25-3.30
Th2 0.5000 0.0000 0.7603  8 Ge 3.25-3.41, 2 Co 3.25, 6 Pd 3.25-3.30
Co1 0.5000 0.5000 0.0000  4 Ge 2.50
Ge1 0.0000 0.0000 0.5000  4 Pd 2.53
Ge2 0.0000 0.5000 0.8742  3 Pd 2.48-2.50, 2 Co 2.50
Ge3 0.5000 0.0000 0.1258  3 Pd 2.48-2.50, 2 Co 2.50
Ge4 0.5000 0.5000 0.5000  4 Pd 2.53
Pd1 0.0000 0.0000 0.0000  4 Ge 2.50
Pd2 0.0000 0.5000 0.6318  5 Ge 2.48-2.53
Pd3 0.5000 0.0000 0.3682  5 Ge 2.48-2.53

Calculated values
* space group: P-4m2 (115)
* M_tot: 1.06 Bohr magnetons per cell

***

TmCoGe2Pd: optimized geometry, PBE.

Cell lengths 5.8574, 5.8574, 5.8574 Å; angles 139.09, 139.09, 59.24 degrees
Last column: nearest neighbours and their distance in Å.
Positions (direct):
Tm1 0.0000 0.0000 0.0000  8 Ge 3.15, 4 Co 3.27, 4 Pd 3.27
Co1 0.7500 0.2500 0.5000  4 Ge 2.43
Ge1 0.3791 0.3791 0.0000  2 Pd 2.43, 2 Co 2.43, 1 Ge 2.46
Ge2 0.6209 0.6209 0.0000  2 Co 2.43, 2 Pd 2.43, 1 Ge 2.46
Pd1 0.2500 0.7500 0.5000  4 Ge 2.43

Calculated values
* space group: I-4m2 (119)
* M_tot: 1.16 Bohr magnetons per cell

***

UCo2Ge2Pd: optimized geometry, PBE.

Cell lengths 4.0995, 4.0995, 6.3731 Å; angles 90.00, 90.00, 120.00 degrees
Last column: nearest neighbours and their distance in Å.
Positions (direct):
U1 0.0000 0.0000 0.0000  6 Co 2.92, 6 Ge 3.04, 2 Pd 3.19
Co1 0.3333 0.6667 0.2694  3 Ge 2.37
Co2 0.6667 0.3333 0.7306  3 Ge 2.37
Ge1 0.3333 0.6667 0.7003  3 Co 2.37
Ge2 0.6667 0.3333 0.2997  3 Co 2.37
Pd1 0.0000 0.0000 0.5000  6 Ge 2.69, 6 Co 2.79

Calculated values
* space group: P-3m1 (164)
* M_tot: 0.91 Bohr magnetons per cell

***

Co2GePdW: optimized geometry, PBE.

Cell lengths 4.4291, 4.4291, 4.9123 Å; angles 90.00, 90.00, 90.00 degrees
Last column: nearest neighbours and their distance in Å.
Positions (direct):
Co1 0.0000 0.5000 0.0000  2 W 2.21
Co2 0.5000 0.0000 0.0000  2 W 2.21
Ge1 0.0000 0.0000 0.5000  4 Pd 3.13, 8 Co 3.31
Pd1 0.5000 0.5000 0.5000  2 W 2.46
W1 0.5000 0.5000 0.0000  4 Co 2.21, 2 Pd 2.46

Calculated values
* space group: P4/mmm (123)
* M_tot: 0.00 Bohr magnetons per cell

***

Pm3Co2Ge4: optimized geometry, PBE.

Cell lengths 5.9027, 5.9027, 8.1857 Å; angles 106.70, 106.70, 41.63 degrees
Last column: nearest neighbours and their distance in Å.
Positions (direct):
Pm1 0.0000 0.0000 0.0000  6 Ge 3.06-3.10
Pm2 0.3818 0.3818 0.3088  4 Co 2.99-3.34, 8 Ge 3.04-3.34
Pm3 0.6182 0.6182 0.6912  4 Co 2.99-3.34, 8 Ge 3.04-3.34
Co1 0.3044 0.3044 0.6284  4 Ge 2.35-2.43
Co2 0.6956 0.6956 0.3716  4 Ge 2.35-2.43
Ge1 0.1064 0.1064 0.3978  3 Co 2.35-2.41
Ge2 0.2881 0.2881 0.9176  1 Co 2.43
Ge3 0.7119 0.7119 0.0824  1 Co 2.43
Ge4 0.8936 0.8936 0.6022  3 Co 2.35-2.41

Calculated values
* space group: C2/m (12)
* E above lowest polymorph: 0.0 meV/atom
* M_tot: 0.00 Bohr magnetons per cell

***

Pm6CoGe2: optimized geometry, PBE.

Cell lengths 4.2735, 8.0144, 8.0144 Å; angles 119.96, 90.00, 90.00 degrees
Last column: nearest neighbours and their distance in Å.
Positions (direct):
Pm1 0.0000 0.0000 0.0000  2 Co 2.88, 2 Ge 3.10
Pm2 0.0000 0.5152 0.7570  2 Co 2.89, 2 Ge 3.10
Pm3 0.0000 0.7570 0.5152  2 Co 2.89, 2 Ge 3.10
Pm4 0.5000 0.1769 0.7571  4 Ge 3.21, 1 Co 3.36, 2 Pm 3.45
Pm5 0.5000 0.3371 0.3371  4 Ge 3.22, 1 Co 3.38, 2 Pm 3.45
Pm6 0.5000 0.7571 0.1769  4 Ge 3.21, 1 Co 3.36, 2 Pm 3.45
Co1 0.5000 0.7588 0.7588  6 Pm 2.88-2.89
Ge1 0.0000 0.0903 0.4240  9 Pm 3.10-3.22
Ge2 0.0000 0.4240 0.0903  9 Pm 3.10-3.22

Calculated values
* space group: Amm2 (38)
* M_tot: 0.00 Bohr magnetons per cell

***

Pm3Co3Ge8: optimized geometry, PBE.

Cell lengths 8.5043, 8.5043, 8.3318 Å; angles 113.60, 113.60, 28.47 degrees
Last column: nearest neighbours and their distance in Å.
Positions (direct):
Pm1 0.0000 0.0000 0.0000  8 Ge 3.07-3.38, 4 Co 3.29
Pm2 0.2755 0.2755 0.3163  10 Ge 3.02-3.34, 3 Co 3.24-3.37
Pm3 0.7245 0.7245 0.6837  10 Ge 3.02-3.34, 3 Co 3.24-3.37
Co1 0.0000 0.0000 0.5000  2 Ge 2.30
Co2 0.3480 0.3480 0.0095  5 Ge 2.31-2.52
Co3 0.6520 0.6520 0.9905  5 Ge 2.31-2.52
Ge1 0.1174 0.1174 0.4192  1 Co 2.30
Ge2 0.1811 0.1811 0.9077  3 Co 2.31-2.52
Ge3 0.3726 0.3726 0.7559  1 Co 2.31
Ge4 0.4687 0.4687 0.2990  3 Co 2.41-2.59
Ge5 0.5313 0.5313 0.7010  3 Co 2.41-2.59
Ge6 0.6274 0.6274 0.2441  1 Co 2.31
Ge7 0.8189 0.8189 0.0923  3 Co 2.31-2.52
Ge8 0.8826 0.8826 0.5808  1 Co 2.30

Calculated values
* space group: C2/m (12)
* M_tot: 0.00 Bohr magnetons per cell

***

Number 1: formation energy from the elements 4.78 eV/f.u., electronic total energy -5.54 eV per atom. Number 2: formation energy from the elements -7.28 eV/f.u., electronic total energy -6.33 eV per atom. Number 3: formation energy from the elements -3.13 eV/f.u., electronic total energy -5.83 eV per atom. Number 4: formation energy from the elements -1.92 eV/f.u., electronic total energy -6.98 eV per atom. Number 5: formation energy from the elements 6.81 eV/f.u., electronic total energy -6.03 eV per atom. Number 6: formation energy from the elements -6.27 eV/f.u., electronic total energy -5.91 eV per atom. Number 7: formation energy from the elements -3.85 eV/f.u., electronic total energy -5.41 eV per atom. Number 8: formation energy from the elements -6.41 eV/f.u., electronic total energy -5.64 eV per atom.